Here is an optimized crystal structure of Ba2HgPd5Au2 from Alexandria. Energies are from PBE.

abc: 10.414 10.414 4.052
angles: 90.00 90.00 90.00
Fractional coordinates of all 20 atoms:
1 Ba 0.176 0.324 0.000
2 Ba 0.324 0.824 0.000
3 Ba 0.676 0.176 0.000
4 Ba 0.824 0.676 0.000
5 Hg 0.000 0.000 0.000
6 Hg 0.500 0.500 0.000
7 Pd 0.000 0.500 0.500
8 Pd 0.056 0.803 0.500
9 Pd 0.197 0.056 0.500
10 Pd 0.303 0.556 0.500
11 Pd 0.444 0.303 0.500
12 Pd 0.500 0.000 0.500
13 Pd 0.556 0.697 0.500
14 Pd 0.697 0.444 0.500
15 Pd 0.803 0.944 0.500
16 Pd 0.944 0.197 0.500
17 Au 0.124 0.624 0.000
18 Au 0.376 0.124 0.000
19 Au 0.624 0.876 0.000
20 Au 0.876 0.376 0.000

Properties
Total DFT energy (no corrections) = -4.045 eV per atom
Magnetization = 0.0 μB/f.u.
Density of states at the Fermi level = 0.24 states/eV/atom